No. 1
Entry from Alexandria via LeMat-Bulk: a relaxed structure of NaZrW2 (PBE-GGA).

Structure (POSCAR):
```
NaZrW2
1.0
2.002 -1.789 3.884
-1.803 0.982 4.251
-2.214 -3.367 2.460
Na W Zr
1 2 1
direct
0.000 0.000 0.000
0.250 0.250 0.250
0.750 0.750 0.750
0.500 0.500 0.500
```

Computed properties:
**Excess energy over the best structure of this formula in the dataset**: 0.0757 eV per atom


No. 2
Entry from Alexandria via LeMat-Bulk: a relaxed structure of Zr4InAg (PBE-GGA).

Structure (POSCAR):
```
Zr4InAg
1.0
-1.761 5.334 0.141
0.602 -0.006 7.749
6.914 -0.747 2.653
Ag Zr In
2 8 2
direct
0.500 0.500 0.500
0.000 0.000 0.500
0.348 0.912 0.343
0.652 0.088 0.657
0.995 0.412 0.343
0.725 0.837 0.166
0.275 0.163 0.834
0.005 0.588 0.657
0.560 0.663 0.834
0.440 0.337 0.166
0.144 0.750 0.000
0.856 0.250 0.000
```

Computed properties:
**Excess energy over the best structure of this formula in the dataset**: 0.1606 eV per atom


No. 3
Entry from Alexandria via LeMat-Bulk: a relaxed structure of MgNbAu3 (PBE-GGA).

Structure (POSCAR):
```
MgNbAu3
1.0
-3.181 -1.701 3.645
3.975 -0.622 3.179
-0.612 4.797 1.704
Au Mg Nb
3 1 1
direct
0.000 0.500 0.000
0.500 0.000 0.000
0.000 0.000 0.500
0.500 0.500 0.500
0.000 0.000 0.000
```

Computed properties:
**Excess energy over the best structure of this formula in the dataset**: 0.0000 eV per atom


No. 4
Entry from Alexandria via LeMat-Bulk: a relaxed structure of Tb6Dy3Ho2Er (PBE-GGA).

Structure (POSCAR):
```
Tb6Dy3Ho2Er
1.0
6.126 0.002 0.009
-3.060 5.307 0.009
-1.032 -1.787 11.532
Tb Dy Ho Er
6 3 2 1
direct
0.083 0.417 0.249
0.583 0.917 0.751
0.417 0.083 0.249
0.750 0.750 0.249
0.917 0.583 0.751
0.250 0.250 0.751
0.833 0.167 0.500
0.167 0.833 0.500
0.500 0.500 0.500
0.667 0.333 0.000
0.333 0.667 0.000
0.000 0.000 0.000
```

Computed properties:
**Energy**: -55.118 eV/cell


No. 5
Entry from Alexandria via LeMat-Bulk: a relaxed structure of ZrHg2 (PBE-GGA).

Structure (POSCAR):
```
ZrHg2
1.0
-3.117 6.462 0.549
2.568 -3.266 5.874
4.213 2.090 -0.680
Hg Zr
6 3
direct
0.000 0.559 0.500
0.240 0.000 0.000
0.441 0.441 0.500
0.000 0.240 0.000
0.760 0.760 0.000
0.559 0.000 0.500
0.000 0.000 0.500
0.333 0.667 0.000
0.667 0.333 0.000
```

Computed properties:
**Energy**: -26.168 eV/cell


No. 6
Entry from Alexandria via LeMat-Bulk: a relaxed structure of ErGe2Os (PBE-GGA).

Structure (POSCAR):
```
ErGe2Os
1.0
-3.409 1.699 -1.636
1.283 -2.012 -4.764
-3.463 -5.577 1.423
Os Ge Er
2 4 2
direct
0.000 0.356 0.000
0.500 0.644 0.500
0.500 0.322 0.223
0.500 0.322 0.777
0.000 0.678 0.277
0.000 0.678 0.723
0.500 0.859 0.000
0.000 0.141 0.500
```

Computed properties:
**Energy**: -53.401 eV/cell